A.
Here is a geometry-optimized Y3MgNb structure from Alexandria via LeMat-Bulk. Energies are from GGA-PBE.

N(E_F): 1.21 states/eV/atom
Symmetry: No. 221

The structure in POSCAR format:
```
Y3MgNb
1.0
5.463 0.000 0.000
0.000 5.463 0.000
0.000 0.000 5.463
Nb Y Mg
1 3 1
Direct
0.000 0.000 0.000
0.500 0.000 0.000
0.000 0.000 0.500
0.000 0.500 0.000
0.500 0.500 0.500
```

***

B.
Here is a geometry-optimized Y3MgNb structure from Alexandria via LeMat-Bulk. Energies are from GGA-PBE.

N(E_F): 2.23 states/eV/atom
Symmetry: No. 221

The structure in POSCAR format:
```
Y3MgNb
1.0
-0.596 0.551 5.355
4.551 -2.826 0.797
2.875 4.587 -0.152
Y Mg Nb
3 1 1
Direct
0.000 0.500 0.000
0.000 0.000 0.500
0.500 0.000 0.000
0.000 0.000 0.000
0.500 0.500 0.500
```

***

Relative to the most stable one, in meV per atom, the structures come out at A 0; B 665.

***

A.
Here is a geometry-optimized Mg3NbZn structure from Alexandria via LeMat-Bulk. Energies are from GGA-PBE.

N(E_F): 0.46 states/eV/atom
Symmetry: No. 221

The structure in POSCAR format:
```
Mg3NbZn
1.0
5.551 0.000 0.000
0.000 5.551 0.000
0.000 0.000 5.551
Mg Nb Zn
3 1 1
Direct
0.000 0.500 0.000
0.000 0.000 0.500
0.500 0.000 0.000
0.000 0.000 0.000
0.500 0.500 0.500
```

***

B.
Here is a geometry-optimized Mg3NbZn structure from Alexandria via LeMat-Bulk. Energies are from GGA-PBE.

N(E_F): 0.63 states/eV/atom
Symmetry: No. 221

The structure in POSCAR format:
```
Mg3NbZn
1.0
-1.357 1.722 -4.266
-3.220 -3.532 -0.401
-3.285 2.751 2.156
Nb Mg Zn
1 3 1
Direct
0.500 0.500 0.500
0.000 0.000 0.500
0.000 0.500 0.000
0.500 0.000 0.000
0.000 0.000 0.000
```

***

Relative to the most stable one, in meV per atom, the structures come out at A 432; B 0.

***

A.
Here is a geometry-optimized Mg2ZrNb structure from Alexandria via LeMat-Bulk. Energies are from GGA-PBE.

N(E_F): 1.10 states/eV/atom
Symmetry: No. 225

The structure in POSCAR format:
```
Mg2ZrNb
1.0
0.000 3.436 3.436
3.436 0.000 3.436
3.436 3.436 0.000
Zr Nb Mg
1 1 2
Direct
0.000 0.000 0.000
0.500 0.500 0.500
0.750 0.750 0.750
0.250 0.250 0.250
```

***

B.
Here is a geometry-optimized Mg2ZrNb structure from Alexandria via LeMat-Bulk. Energies are from GGA-PBE.

N(E_F): 0.77 states/eV/atom
Symmetry: No. 122

The structure in POSCAR format:
```
Mg2ZrNb
1.0
-3.446 -0.108 7.191
-6.361 -3.676 -3.103
-3.761 -4.299 2.555
Mg Nb Zr
4 2 2
Direct
0.875 0.888 0.750
0.638 0.125 0.250
0.112 0.625 0.250
0.375 0.362 0.750
0.000 0.000 0.000
0.750 0.250 0.500
0.500 0.500 0.000
0.250 0.750 0.500
```

***

Relative to the most stable one, in meV per atom, the structures come out at A 0; B 262.

***

A.
Here is a geometry-optimized Nd5Mg2 structure from Alexandria via LeMat-Bulk. Energies are from GGA-PBE.

N(E_F): 1.12 states/eV/atom
Symmetry: No. 66

The structure in POSCAR format:
```
Nd5Mg2
1.0
-0.753 -3.614 -7.311
-6.508 -2.264 1.790
-2.726 8.391 0.721
Mg Nd
4 10
Direct
0.106 0.500 0.758
0.349 0.000 0.242
0.651 0.000 0.758
0.894 0.500 0.242
0.727 0.500 0.812
0.500 0.750 0.000
0.266 0.750 0.533
0.273 0.500 0.188
0.915 0.000 0.188
0.733 0.750 0.467
0.085 0.000 0.812
0.500 0.250 0.000
0.734 0.250 0.467
0.267 0.250 0.533
```

***

B.
Here is a geometry-optimized Nd5Mg2 structure from Alexandria via LeMat-Bulk. Energies are from GGA-PBE.

N(E_F): 1.22 states/eV/atom
Symmetry: No. 15

The structure in POSCAR format:
```
Nd5Mg2
1.0
6.100 0.000 0.000
-3.050 7.887 -1.038
0.000 0.211 9.286
Mg Nd
4 10
Direct
0.750 0.140 0.608
0.250 0.860 0.392
0.610 0.860 0.892
0.390 0.140 0.108
0.941 0.272 0.963
0.109 0.552 0.677
0.443 0.552 0.177
0.891 0.448 0.323
0.669 0.728 0.537
0.059 0.728 0.037
0.331 0.272 0.463
0.809 0.000 0.250
0.191 0.000 0.750
0.557 0.448 0.823
```

***

Relative to the most stable one, in meV per atom, the structures come out at A 57; B 0.

***

A.
Here is a geometry-optimized Nd2Mg3 structure from Alexandria via LeMat-Bulk. Energies are from GGA-PBE.

N(E_F): 0.93 states/eV/atom
Symmetry: No. 166

The structure in POSCAR format:
```
Nd2Mg3
1.0
3.426 0.000 0.000
1.713 2.967 0.000
1.713 0.989 14.089
Mg Nd
3 2
Direct
0.895 0.895 0.316
0.500 0.500 0.500
0.105 0.105 0.684
0.297 0.297 0.109
0.703 0.703 0.891
```

***

B.
Here is a geometry-optimized Nd2Mg3 structure from Alexandria via LeMat-Bulk. Energies are from GGA-PBE.

N(E_F): 0.89 states/eV/atom
Symmetry: No. 123

The structure in POSCAR format:
```
Nd2Mg3
1.0
-2.117 3.091 -0.920
-0.821 -1.580 -3.422
-15.350 -8.277 7.505
Mg Nd
6 4
Direct
0.000 0.000 0.087
0.000 0.000 0.500
0.000 0.000 0.913
0.000 0.000 0.706
0.500 0.500 0.000
0.000 0.000 0.294
0.500 0.500 0.194
0.500 0.500 0.397
0.500 0.500 0.806
0.500 0.500 0.603
```

***

Relative to the most stable one, in meV per atom, the structures come out at A 138; B 0.

***

A.
Here is a geometry-optimized Nd4Mg structure from Alexandria via LeMat-Bulk. Energies are from GGA-PBE.

N(E_F): 1.79 states/eV/atom
Symmetry: No. 227

The structure in POSCAR format:
```
Nd4Mg
1.0
7.610 -1.029 2.717
3.494 5.743 4.600
1.347 -1.382 7.914
Nd Mg
8 2
Direct
0.396 0.812 0.396
0.854 0.854 0.854
0.438 0.854 0.854
0.396 0.396 0.396
0.396 0.396 0.812
0.812 0.396 0.396
0.854 0.438 0.854
0.854 0.854 0.438
0.000 0.000 0.000
0.250 0.250 0.250
```

***

B.
Here is a geometry-optimized Nd4Mg structure from Alexandria via LeMat-Bulk. Energies are from GGA-PBE.

N(E_F): 1.16 states/eV/atom
Symmetry: No. 64

The structure in POSCAR format:
```
Nd4Mg
1.0
6.762 1.645 0.000
2.185 6.609 0.000
0.000 0.000 8.565
Nd Mg
8 2
Direct
0.595 0.094 0.250
0.405 0.906 0.750
0.905 0.406 0.750
0.095 0.594 0.250
0.096 0.095 0.361
0.404 0.405 0.861
0.596 0.595 0.139
0.904 0.905 0.639
0.500 0.500 0.500
0.000 0.000 0.000
```

***

Relative to the most stable one, in meV per atom, the structures come out at A 387; B 0.